(1)
Entry from Alexandria: an optimized crystal structure of MgTl (GGA-PBEsol).

```
4
Lattice="3.312 0.000 0.000 0.000 3.312 0.000 0.000 0.000 9.126" Properties=species:S:1:pos:R:3 pbc="T T T"
Mg 0.828 0.828 1.070
Mg 2.484 2.484 8.056
Tl 0.828 0.828 5.829
Tl 2.484 2.484 3.297
```

For the calculated formation energy, the calculation gives -15 meV/atom. As for the density of states at the Fermi level: 1.7 states/eV per cell.

***

(2)
Entry from Alexandria: an optimized crystal structure of CsErTa6Cl18 (GGA-PBEsol).

```
52
Lattice="9.182 0.000 0.000 -4.591 7.952 0.000 0.000 0.000 17.078" Properties=species:S:1:pos:R:3 pbc="T T T"
Cs 0.000 5.301 4.270
Cs 4.591 2.651 12.809
Er 0.000 5.301 12.809
Er 4.591 2.651 4.270
Ta -0.525 1.565 15.913
Ta -3.498 6.715 9.704
Ta 0.525 1.565 9.704
Ta -2.974 7.624 15.913
Ta 1.617 0.328 7.374
Ta 1.093 1.237 1.165
Ta 3.498 6.715 15.913
Ta 2.974 7.624 9.704
Ta 7.565 0.328 1.165
Ta 4.066 6.387 7.374
Ta 8.089 1.237 7.374
Ta 5.116 6.387 1.165
Cl -0.641 1.881 2.766
Cl -3.282 6.457 5.773
Cl -1.245 3.565 14.320
Cl -2.126 5.091 11.297
Cl -0.654 3.344 8.523
Cl -2.022 5.713 0.016
Cl 0.641 1.881 5.773
Cl -2.642 7.566 2.766
Cl 1.949 0.386 11.305
Cl 1.309 1.495 14.312
Cl 0.654 3.344 0.016
Cl -1.368 6.847 8.523
Cl 1.245 3.565 11.297
Cl -0.881 7.247 14.320
Cl 3.223 1.105 17.062
Cl 2.569 2.238 8.555
Cl 3.710 0.705 5.781
Cl 2.465 2.861 2.758
Cl 2.126 5.091 14.320
Cl 0.881 7.247 11.297
Cl 2.022 5.713 8.523
Cl 1.368 6.847 0.016
Cl 5.472 0.705 2.758
Cl 3.346 4.386 5.781
Cl 5.959 1.105 8.555
Cl 3.937 4.608 17.062
Cl 3.282 6.457 2.766
Cl 2.642 7.566 5.773
Cl 7.233 0.386 14.312
Cl 3.950 6.071 11.305
Cl 6.613 2.238 17.062
Cl 5.245 4.608 8.555
Cl 6.717 2.861 5.781
Cl 5.836 4.386 2.758
Cl 7.873 1.495 11.305
Cl 5.231 6.071 14.312
```

The formation energy (no corrections) is -1.51 eV/atom.

***

(3)
Entry from Alexandria: an optimized crystal structure of Sc2BeOs (GGA-PBEsol).

```
4
Lattice="4.886 -1.581 0.000 4.886 1.581 0.000 -1.701 0.000 4.156" Properties=species:S:1:pos:R:3 pbc="T T T"
Sc 0.000 0.000 0.000
Sc 0.911 0.000 2.815
Be 3.569 0.000 1.862
Os 7.057 0.000 0.946
```

For the calculated formation energy, the calculation gives -194 meV/atom. As for the density of states at the Fermi level: 1.7 states/eV per cell.